# KNiIrF6

Crystalline KNiIrF6 at its relaxed geometry (PBE+U, the Alexandria database).

Lattice parameters (Å, degrees): 7.2211 7.3527 10.4617 90.00 90.00 90.00
Space group Imma (No. 74)
One atom of each set of equivalent atoms:
K  0.0000  0.2500  0.1619 x4
Ni  0.0000  0.0000  0.5000 x4
Ir  0.2500  0.2500  0.7500 x4
F  0.0000  0.2500  0.4328 x4
F  0.0000  0.2500  0.8386 x4
F  0.2067  0.0378  0.6300 x16

Results
**Energy**: -4.598 eV per atom
**Total magnetization**: 1.96 μB/f.u.
**Volume**: 555.5 Å³ per cell